Below is crystalline Ta3NiW at its relaxed geometry, with properties calculated at the GGA-PBE level.

Its density of states at the Fermi level is 0.9921 states/eV/atom. For the relative energy among the computed polymorphs, the calculation gives 0 meV per atom. The density comes out at 13.8 g/cm3. As for the total magnetic moment: 0.00 μB per formula unit. As for the energy of formation: 1.063 eV/atom.

It has space group Pm-3m (No. 221), with a = 4.550 Å, b = 4.550 Å, c = 4.550 Å, α = 90.00°, β = 90.00° and γ = 90.00°. Symmetry generates all atoms from Ta at (0.000, 0.000, 0.500), Ni at (0.000, 0.000, 0.000) and W at (0.500, 0.500, 0.500).